# La6PrDy3, relaxed, DFT PBE-GGA
# * total DFT energy (no corrections): -4.6265 eV/atom
# * crystal system: trigonal
# * Fermi-level density of states: 18.72 states/eV/f.u.
# * total magnetization: 0.00 μB per cell
data_La6PrDy3
_chemical_formula_sum 'La18 Pr3 Dy9'
_symmetry_space_group_name_H-M 'R 3'
_symmetry_Int_Tables_number 146
_symmetry_space_group_name_Hall 'R 3'
_cell_length_a 10.0817
_cell_length_b 10.0817
_cell_length_c 12.2850
_cell_angle_alpha 90.00
_cell_angle_beta 90.00
_cell_angle_gamma 120.00
loop_
_atom_site_label
_atom_site_fract_x
_atom_site_fract_y
_atom_site_fract_z
La1 0.9997 0.3261 0.0000
La2 0.9997 0.6750 0.4999
Pr1 0.0000 0.0000 0.9995
Dy1 0.0000 0.0000 0.2529
Dy2 0.0000 0.0000 0.4997
Dy3 0.0000 0.0000 0.7467